This record from Alexandria describes a relaxed Na2MnF6 crystal. The functional is GGA+U.

Lattice parameters (Å, degrees): 5.0111 5.0111 9.9035 90.00 90.00 90.00
Atoms (fractional coordinates):
Na 0.0000 0.0000 0.1641
Na 0.0000 0.0000 0.8359
Na 0.5000 0.5000 0.3359
Na 0.5000 0.5000 0.6641
Mn 0.0000 0.0000 0.5000
Mn 0.5000 0.5000 0.0000
F 0.1792 0.1792 0.3641
F 0.1792 0.1792 0.6359
F 0.2391 0.2391 0.0000
F 0.2609 0.7391 0.5000
F 0.3208 0.6792 0.1359
F 0.3208 0.6792 0.8641
F 0.6792 0.3208 0.1359
F 0.6792 0.3208 0.8641
F 0.7391 0.2609 0.5000
F 0.7609 0.7609 0.0000
F 0.8208 0.8208 0.3641
F 0.8208 0.8208 0.6359

Its density of states at the Fermi level is 0.0 states/eV per cell. Its space group is P4_2/mnm. The crystal system is tetragonal. As for the uncorrected energy: -88.388 eV per cell.